1.
VASP calculation (GGA-PBE) on an optimized crystal structure of CuSnMoPt.

Geometry as POSCAR:
```
CuSnMoPt
1.0
0.000 3.209 3.209
3.209 0.000 3.209
3.209 3.209 0.000
Mo Cu Pt Sn
1 1 1 1
Direct
0.250 0.250 0.250
0.750 0.750 0.750
0.500 0.500 0.500
0.000 0.000 0.000
```

Values from the calculation:
Relative energy among the computed polymorphs in meV/atom: 0

=====

2.
VASP calculation (GGA-PBE) on an optimized crystal structure of HfGaMo.

Geometry as POSCAR:
```
HfGaMo
1.0
0.000 3.183 3.183
3.183 0.000 3.183
3.183 3.183 0.000
Ga Mo Hf
1 1 1
Direct
0.250 0.250 0.250
0.750 0.750 0.750
0.000 0.000 0.000
```

Values from the calculation:
Relative energy among the computed polymorphs in meV/atom: 366

=====

3.
VASP calculation (GGA-PBE) on an optimized crystal structure of TbAl3N.

Geometry as POSCAR:
```
TbAl3N
1.0
-1.575 1.928 -3.569
2.006 -2.958 -2.483
-3.526 -2.544 0.182
Tb Al N
1 3 1
Direct
0.000 0.000 0.000
0.500 0.000 0.500
0.000 0.500 0.500
0.500 0.500 0.000
0.500 0.500 0.500
```

Values from the calculation:
Raw total energy in eV for the cell shown: -23.9

=====

4.
VASP calculation (GGA-PBE) on an optimized crystal structure of MgZnAsO.

Geometry as POSCAR:
```
MgZnAsO
1.0
3.117 0.000 0.000
0.000 6.742 0.000
0.000 0.000 6.317
Zn As O Mg
2 2 2 2
Direct
0.000 0.811 0.961
0.000 0.189 0.461
0.000 0.842 0.351
0.000 0.158 0.851
0.500 0.636 0.873
0.500 0.364 0.373
0.500 0.412 0.069
0.500 0.588 0.569
```

Values from the calculation:
Raw total energy in eV for the cell shown: -33.3